(1)
VASP calculation (GGA-PBE) on a relaxed KCoP2Ir crystal.

a b c (Å): 3.821 3.821 13.335
angles (deg): 90.00 90.00 90.00
Space group I-4m2 (No. 119)
Symmetry-distinct sites (fractional):
K: 0.000 0.000 0.000 [2 per cell]
Co: 0.000 0.500 0.250 [2 per cell]
P: 0.000 0.000 0.345 [4 per cell]
Ir: 0.000 0.500 0.750 [2 per cell]

Output
M_tot	0.00	μB/cell
final energy	-6.19	eV/atom

---

(2)
VASP calculation (GGA-PBE) on a relaxed KRb2CoIr crystal.

a b c (Å): 6.491 6.491 4.521
angles (deg): 90.00 90.00 90.00
Space group P4/mmm (No. 123)
Symmetry-distinct sites (fractional):
K: 0.000 0.000 0.000 [1 per cell]
Rb: 0.000 0.500 0.500 [2 per cell]
Co: 0.500 0.500 0.500 [1 per cell]
Ir: 0.500 0.500 0.000 [1 per cell]

Output
M_tot	1.40	μB/cell
final energy	-3.01	eV/atom

---

(3)
VASP calculation (GGA-PBE) on a relaxed K2ZrCoIr crystal.

a b c (Å): 5.322 5.322 4.587
angles (deg): 90.00 90.00 90.00
Space group P4/mmm (No. 123)
Symmetry-distinct sites (fractional):
K: 0.000 0.500 0.000 [2 per cell]
Zr: 0.000 0.000 0.500 [1 per cell]
Co: 0.500 0.500 0.000 [1 per cell]
Ir: 0.500 0.500 0.500 [1 per cell]

Output
M_tot	0.00	μB/cell
final energy	-3.76	eV/atom

---

(4)
VASP calculation (GGA-PBE) on a relaxed La2CoIr crystal.

a b c (Å): 4.086 4.057 11.284
angles (deg): 90.00 90.00 90.00
Space group Amm2 (No. 38)
Symmetry-distinct sites (fractional):
La: 0.000 0.000 0.000 [2 per cell]
La: 0.500 0.000 0.282 [2 per cell]
Co: 0.500 0.000 0.569 [2 per cell]
Ir: 0.000 0.000 0.710 [2 per cell]

Output
M_tot	0.00	μB/cell
final energy	-6.85	eV/atom

---

(5)
VASP calculation (GGA-PBE) on a relaxed La2CoIr crystal.

a b c (Å): 7.512 7.512 6.346
angles (deg): 90.00 90.00 90.00
Space group I-42d (No. 122)
Symmetry-distinct sites (fractional):
La: 0.233 0.250 0.125 [8 per cell]
Co: 0.000 0.000 0.000 [4 per cell]
Ir: 0.000 0.000 0.500 [4 per cell]

Output
M_tot	0.00	μB/cell
final energy	-6.55	eV/atom

---

(6)
VASP calculation (GGA-PBE) on a relaxed LaCo2Ir crystal.

a b c (Å): 4.093 4.093 7.919
angles (deg): 90.00 90.00 90.00
Space group I-4m2 (No. 119)
Symmetry-distinct sites (fractional):
La: 0.000 0.000 0.000 [2 per cell]
Co: 0.000 0.000 0.500 [2 per cell]
Co: 0.000 0.500 0.750 [2 per cell]
Ir: 0.000 0.500 0.250 [2 per cell]

Output
M_tot	5.61	μB/cell
final energy	-6.76	eV/atom